[1]
{
  "formula": "Mg2Sn2Hg",
  "functional": "PBE",
  "state": "relaxed",
  "lattice": [[3.3157, 0.0000, 0.0000], [0.0000, 3.3230, 0.6296], [0.0000, -0.3275, 10.8125]],
  "species": ["Mg", "Mg", "Sn", "Sn", "Hg"],
  "fractional_positions": [[0.5000, 0.4130, 0.1740], [0.5000, 0.5870, 0.8260], [0.0000, 0.1873, 0.6254], [0.0000, 0.8127, 0.3746], [0.0000, 0.0000, 0.0000]],
  "e_tot_ev_per_atom": -2.424,
  "polymorph_energy_ev_per_atom": 0.000,
  "e_form_ev_per_atom": -0.12,
  "dos_ef_per_ev_cell": 1.9
}

[2]
{
  "formula": "GdScCuPd",
  "functional": "PBE",
  "state": "relaxed",
  "lattice": [[-2.9409, 3.5247, -1.5264], [-1.2844, 0.2308, -4.6583], [-4.5397, -1.0360, -1.3116]],
  "species": ["Sc", "Gd", "Cu", "Pd"],
  "fractional_positions": [[0.5000, 0.5000, 0.5000], [0.0000, 0.0000, 0.0000], [0.2500, 0.2500, 0.2500], [0.7500, 0.7500, 0.7500]],
  "e_tot_ev_per_atom": -7.940,
  "e_form_ev_per_atom": -0.51,
  "dos_ef_per_ev_cell": 3.0
}

[3]
{
  "formula": "AlCu2B",
  "functional": "PBE",
  "state": "relaxed",
  "lattice": [[-0.5460, 2.4689, 3.0525], [-2.5761, 2.9965, -0.3108], [-3.3988, -0.0890, 2.0376]],
  "species": ["B", "Al", "Cu", "Cu"],
  "fractional_positions": [[0.0000, 0.0000, 0.0000], [0.5000, 0.5000, 0.5000], [0.2500, 0.2500, 0.2500], [0.7500, 0.7500, 0.7500]],
  "e_tot_ev_per_atom": -4.209,
  "polymorph_energy_ev_per_atom": 0.140,
  "e_form_ev_per_atom": 0.44,
  "dos_ef_per_ev_cell": 0.8
}

[4]
{
  "formula": "Cs2PtI7",
  "functional": "PBE",
  "state": "relaxed",
  "lattice": [[8.4583, 0.0000, 0.0000], [0.0000, 8.4583, 0.0000], [4.2292, 4.2292, 6.3528]],
  "species": ["Cs", "Cs", "I", "I", "I", "I", "I", "I", "I", "Pt"],
  "fractional_positions": [[0.7500, 0.2500, 0.5000], [0.2500, 0.7500, 0.5000], [0.5000, 0.5000, 0.0000], [0.2119, 0.2119, 0.5763], [0.7881, 0.7881, 0.4237], [0.2309, 0.2309, 0.0000], [0.7691, 0.7691, 0.0000], [0.7691, 0.2309, 0.0000], [0.2309, 0.7691, 0.0000], [0.0000, 0.0000, 0.0000]],
  "e_tot_ev_per_atom": -2.561,
  "e_form_raw_ev_per_atom": -0.70,
  "dos_ef_per_ev_cell": 4.8
}